Th4GaFe | PBE-GGA | relaxed

a b c (Å): 5.9158 7.2420 7.2420
angles (deg): 90.00 90.00 90.00
Last column: nearest neighbours and their distance in Å.
Sites, in units of the cell vectors:
Th: 0.5000 0.8199 0.6483  2 Fe 2.95, 2 Ga 3.22
Th: 0.5000 0.3517 0.8199  2 Fe 2.95, 2 Ga 3.22
Ga: 0.7500 0.0000 0.0000  2 Ga 2.96, 8 Th 3.22
Th: 0.5000 0.1801 0.3517  2 Fe 2.95, 2 Ga 3.22
Th: 0.0000 0.1801 0.6483  2 Fe 2.95, 2 Ga 3.22
Th: 0.0000 0.3517 0.1801  2 Fe 2.95, 2 Ga 3.22
Fe: 0.2500 0.5000 0.5000  8 Th 2.95, 2 Fe 2.96
Th: 0.0000 0.8199 0.3517  2 Fe 2.95, 2 Ga 3.22
Th: 0.0000 0.6483 0.8199  2 Fe 2.95, 2 Ga 3.22
Th: 0.5000 0.6483 0.1801  2 Fe 2.95, 2 Ga 3.22
Fe: 0.7500 0.5000 0.5000  8 Th 2.95, 2 Fe 2.96
Ga: 0.2500 0.0000 0.0000  2 Ga 2.96, 8 Th 3.22

**Total magnetic moment**: 0.00 μB/cell
**ρ**: 11.279 g/cm3
**Formation enthalpy at 0 K**: -0.18 eV/atom

TaTc2HRh | PBE-GGA | relaxed

a b c (Å): 3.9130 3.9130 4.1174
angles (deg): 90.00 90.00 90.00
Last column: nearest neighbours and their distance in Å.
Sites, in units of the cell vectors:
Ta: 0.0000 0.0000 0.5000  2 H 2.06
Tc: 0.5000 0.0000 0.0000  2 H 1.96
H: 0.0000 0.0000 0.0000  4 Tc 1.96, 2 Ta 2.06
Tc: 0.0000 0.5000 0.0000  2 H 1.96
Rh: 0.5000 0.5000 0.5000  4 Ta 2.77, 8 Tc 2.84

**Calculated total energy**: -44.15 eV per formula unit
**Total magnetic moment**: 0.00 μB/cell
**ρ**: 12.666 g/cm3

Pr6Sb5O | PBE-GGA | relaxed

a b c (Å): 7.6951 7.7135 7.6338
angles (deg): 59.65 80.11 70.12
Last column: nearest neighbours and their distance in Å.
Sites, in units of the cell vectors:
Sb: 0.0000 0.6643 0.6714  6 Pr 3.14-3.18
Pr: 0.2272 0.9267 0.6960  1 O 2.83, 3 Sb 3.14-3.17
Sb: 0.5000 0.5000 0.0000  6 Pr 3.14-3.23
Pr: 0.2272 0.6227 0.3040  1 O 2.83, 3 Sb 3.14-3.17
Sb: 0.5000 0.1791 0.6418  6 Pr 3.17-3.29
O: 0.0000 0.0000 0.0000  6 Pr 2.83-3.08
Pr: 0.7466 0.7654 0.0000  1 O 3.08, 5 Sb 3.16-3.23
Sb: 0.0000 0.3357 0.3286  6 Pr 3.14-3.18
Pr: 0.7728 0.0733 0.3040  1 O 2.83, 3 Sb 3.14-3.17
Pr: 0.2534 0.2346 0.0000  1 O 3.08, 5 Sb 3.16-3.23
Sb: 0.5000 0.8209 0.3582  6 Pr 3.17-3.29
Pr: 0.7728 0.3773 0.6960  1 O 2.83, 3 Sb 3.14-3.17

**Total magnetic moment**: 0.00 μB/cell
**ρ**: 6.639 g/cm3
**Uncorrected formation energy**: -1.291 eV/atom

Nd2DyLu | PBE-GGA | relaxed

a b c (Å): 3.6079 3.6079 10.0463
angles (deg): 90.00 90.00 90.00
Last column: nearest neighbours and their distance in Å.
Sites, in units of the cell vectors:
Nd: 0.0000 0.0000 0.2471  4 Lu 3.56, 4 Dy 3.60, 4 Nd 3.61
Lu: 0.5000 0.5000 0.0000  8 Nd 3.56, 4 Lu 3.61
Nd: 0.0000 0.0000 0.7529  4 Lu 3.56, 4 Dy 3.60, 4 Nd 3.61
Dy: 0.5000 0.5000 0.5000  8 Nd 3.60, 4 Dy 3.61

**Total magnetic moment**: 0.00 μB/cell
**ρ**: 7.948 g/cm3
**Formation enthalpy at 0 K**: 0.02 eV/atom

PmTmAlTl | PBE-GGA | relaxed

a b c (Å): 5.2802 5.2802 5.2802
angles (deg): 60.00 60.00 60.00
Last column: nearest neighbours and their distance in Å.
Sites, in units of the cell vectors:
Al: 0.5000 0.5000 0.5000  4 Tm 3.23, 4 Pm 3.23
Tl: 0.0000 0.0000 0.0000  4 Pm 3.23, 4 Tm 3.23
Tm: 0.7500 0.7500 0.7500  4 Al 3.23, 4 Tl 3.23
Pm: 0.2500 0.2500 0.2500  4 Al 3.23, 4 Tl 3.23

**Total magnetic moment**: 0.00 μB/cell
**ρ**: 8.698 g/cm3
**Formation enthalpy at 0 K**: -0.33 eV/atom

Mg2TiBi2 | PBE-GGA | relaxed

a b c (Å): 7.6302 7.6302 4.3448
angles (deg): 90.00 90.00 90.00
Last column: nearest neighbours and their distance in Å.
Sites, in units of the cell vectors:
Ti: 0.5000 0.5000 0.0000  4 Bi 2.87
Bi: 0.6590 0.1590 0.0000  2 Ti 2.87, 2 Mg 2.97
Mg: 0.3469 0.1531 0.5000  6 Bi 2.97-3.22, 1 Mg 3.30
Bi: 0.8410 0.6590 0.0000  2 Ti 2.87, 2 Mg 2.97
Mg: 0.1531 0.6531 0.5000  6 Bi 2.97-3.22, 1 Mg 3.30
Bi: 0.1590 0.3410 0.0000  2 Ti 2.87, 2 Mg 2.97
Mg: 0.6531 0.8469 0.5000  6 Bi 2.97-3.22, 1 Mg 3.30
Bi: 0.3410 0.8410 0.0000  2 Ti 2.87, 2 Mg 2.97
Ti: 0.0000 0.0000 0.0000  4 Bi 2.87
Mg: 0.8469 0.3469 0.5000  6 Bi 2.97-3.22, 1 Mg 3.30

**Total magnetic moment**: 0.00 μB/cell
**ρ**: 6.754 g/cm3
**Formation enthalpy at 0 K**: 0.04 eV/atom

SnTe2As | PBE-GGA | relaxed

a b c (Å): 9.4171 9.4171 9.4171
angles (deg): 25.85 25.85 25.85
Last column: nearest neighbours and their distance in Å.
Sites, in units of the cell vectors:
As: 0.0000 0.0000 0.0000  2 Te 2.69
Te: 0.0984 0.0984 0.0984  1 As 2.69
Sn: 0.5000 0.5000 0.5000  6 Te 3.06
Te: 0.9016 0.9016 0.9016  1 As 2.69

**Total magnetic moment**: 0.00 μB/cell
**ρ**: 5.329 g/cm3
**Uncorrected formation energy**: 0.242 eV/atom

RhPb3 | PBE-GGA | relaxed

a b c (Å): 5.8768 5.8768 5.8768
angles (deg): 90.00 90.00 90.00
Last column: nearest neighbours and their distance in Å.
Sites, in units of the cell vectors:
Pb: 0.0000 0.2500 0.5000  2 Pb 2.94, 4 Rh 3.29
Pb: 0.7500 0.5000 0.0000  2 Pb 2.94, 4 Rh 3.29
Rh: 0.5000 0.5000 0.5000  12 Pb 3.29
Rh: 0.0000 0.0000 0.0000  12 Pb 3.29
Pb: 0.5000 0.0000 0.2500  2 Pb 2.94, 4 Rh 3.29
Pb: 0.0000 0.7500 0.5000  2 Pb 2.94, 4 Rh 3.29
Pb: 0.2500 0.5000 0.0000  2 Pb 2.94, 4 Rh 3.29
Pb: 0.5000 0.0000 0.7500  2 Pb 2.94, 4 Rh 3.29

**Total magnetic moment**: 0.00 μB/cell
**ρ**: 11.855 g/cm3
**Formation enthalpy at 0 K**: 0.26 eV/atom

ZnCo2Pt | PBE-GGA | relaxed

a b c (Å): 3.7622 2.6649 5.7966
angles (deg): 62.73 90.00 90.00
Last column: nearest neighbours and their distance in Å.
Sites, in units of the cell vectors:
Zn: 0.5000 0.7500 0.7500  2 Pt 2.58, 8 Co 2.61, 2 Zn 2.66
Co: 0.0000 0.0111 0.9883  4 Co 2.46-2.70, 4 Zn 2.61, 4 Pt 2.67
Co: 0.0000 0.4889 0.5117  4 Co 2.46-2.70, 4 Zn 2.61, 4 Pt 2.67
Pt: 0.5000 0.2500 0.2500  2 Zn 2.58, 2 Pt 2.66, 8 Co 2.67

**Total magnetic moment**: 3.46 μB/cell
**ρ**: 12.162 g/cm3
**Formation enthalpy at 0 K**: -0.06 eV/atom

Sm6P2S3Cl | PBE-GGA | relaxed

a b c (Å): 4.0540 8.1293 9.0547
angles (deg): 102.55 102.94 90.00
Last column: nearest neighbours and their distance in Å.
Sites, in units of the cell vectors:
Sm: 0.9971 0.7251 0.9942  3 S 2.74-2.85, 1 P 2.80, 2 Cl 3.01
Sm: 0.3235 0.9049 0.6470  3 S 2.78-2.90, 2 P 2.82, 1 Cl 3.04
Sm: 0.3313 0.4201 0.6625  3 P 2.85-2.86, 3 S 2.90-2.92
P: 0.1654 0.3304 0.3309  6 Sm 2.80-2.86
Cl: 0.5000 0.0000 0.0000  6 Sm 3.01-3.04
Sm: 0.0029 0.2749 0.0058  3 S 2.74-2.85, 1 P 2.80, 2 Cl 3.01
P: 0.8346 0.6696 0.6691  6 Sm 2.80-2.86
Sm: 0.6765 0.0951 0.3530  3 S 2.78-2.90, 2 P 2.82, 1 Cl 3.04
S: 0.1621 0.8350 0.3242  6 Sm 2.78-2.92
Sm: 0.6687 0.5799 0.3375  3 P 2.85-2.86, 3 S 2.90-2.92
S: 0.5000 0.5000 0.0000  6 Sm 2.74-2.90
S: 0.8379 0.1650 0.6758  6 Sm 2.78-2.92

**Total magnetic moment**: 0.00 μB/cell
**ρ**: 6.418 g/cm3
**Uncorrected formation energy**: -1.818 eV/atom

WCl | PBE-GGA | relaxed

a b c (Å): 11.0131 11.0131 3.1033
angles (deg): 90.00 90.00 120.00
Last column: nearest neighbours and their distance in Å.
Sites, in units of the cell vectors:
Cl: 0.3733 0.1863 0.2500  3 W 2.45-2.71
W: 0.5911 0.0161 0.7500  2 W 2.42, 1 Cl 2.45
Cl: 0.1863 0.8129 0.7500  3 W 2.45-2.71
W: 0.4250 0.4089 0.7500  2 W 2.42, 1 Cl 2.45
W: 0.5750 0.5911 0.2500  2 W 2.42, 1 Cl 2.45
Cl: 0.6267 0.8137 0.7500  3 W 2.45-2.71
Cl: 0.8129 0.6267 0.2500  3 W 2.45-2.71
W: 0.9839 0.5750 0.7500  2 W 2.42, 1 Cl 2.45
W: 0.4089 0.9839 0.2500  2 W 2.42, 1 Cl 2.45
Cl: 0.8137 0.1871 0.2500  3 W 2.45-2.71
Cl: 0.1871 0.3733 0.7500  3 W 2.45-2.71
W: 0.0161 0.4250 0.2500  2 W 2.42, 1 Cl 2.45

**Total magnetic moment**: 0.00 μB/cell
**ρ**: 6.703 g/cm3
**Uncorrected formation energy**: 0.450 eV/atom

RbLa2Nb | PBE-GGA | relaxed

a b c (Å): 5.7442 5.7442 5.7442
angles (deg): 60.00 60.00 60.00
Last column: nearest neighbours and their distance in Å.
Sites, in units of the cell vectors:
La: 0.7500 0.7500 0.7500  4 Rb 3.52, 4 Nb 3.52
Rb: 0.0000 0.0000 0.0000  8 La 3.52
La: 0.2500 0.2500 0.2500  4 Rb 3.52, 4 Nb 3.52
Nb: 0.5000 0.5000 0.5000  8 La 3.52

**Total magnetic moment**: 2.61 μB/cell
**ρ**: 5.652 g/cm3
**Formation enthalpy at 0 K**: 0.87 eV/atom

Q: What is the ρ in the eighth record?
A: 11.855 g/cm3